Crystalline BeCo2Ag at its relaxed geometry, computed with GGA-PBE.

POSCAR file:
```
BeCo2Ag
1.0
8.3294 0.0113 0.0066
7.9221 2.5728 0.0066
7.9221 1.2596 2.2433
Co Be Ag
2 1 1
direct
0.0126 0.0126 0.0126
0.4874 0.4874 0.4874
0.7500 0.7500 0.7500
0.2500 0.2500 0.2500
```

Properties
**Formation enthalpy at 0 K**: 248 meV per atom
**Magnetic moment**: 2.04 μB per cell
**Crystal system**: trigonal